Computed, not measured: crystalline Mn4CoO8 at its relaxed geometry at the PBE with a Hubbard U level of DFT.

Cell and atoms, written as extended XYZ:
```
13
Lattice="-0.2700 -6.1052 -1.4224 2.8841 -4.4948 3.2936 -3.0068 -4.2756 3.4710" Properties=species:S:1:pos:R:3 pbc="T T T"
Mn 1.3070 -5.3000 0.9356
Mn -0.1963 -7.4378 2.6711
O -1.6281 -9.1552 2.5124
O -0.1718 -8.4117 4.6898
O -0.1064 -4.0321 1.4480
Co 0.0000 0.0000 0.0000
Mn -0.0613 -4.3852 3.3823
Mn -1.6384 -5.1904 1.0243
O 1.2354 -5.7204 2.8297
O -0.2209 -6.4639 0.6523
O -1.4845 -5.6192 2.9116
O 1.0918 -9.2564 2.4305
O -0.2863 -10.8435 3.8941
```

Symmetry: R-3m, No. 166
Energy above the most stable polymorph in this dataset: 4 meV/atom
Calculated volume: 158.75 Å³/cell

Computed, not measured: crystalline MnCoO4 at its relaxed geometry at the PBE with a Hubbard U level of DFT.

Cell and atoms, written as extended XYZ:
```
12
Lattice="-2.8529 2.9170 4.0276 2.8529 -2.9170 4.0276 2.8529 2.9170 -4.0276" Properties=species:S:1:pos:R:3 pbc="T T T"
Mn 0.0000 0.0000 4.0276
Co -1.4264 1.4585 2.0138
Mn 2.8529 0.0000 0.0000
O 0.0000 0.2075 2.1024
Co 1.4264 1.4585 2.0138
O 0.0000 2.7095 2.1024
O -1.2854 1.4585 3.9058
O 2.8529 2.7095 1.9252
O 2.8529 0.2075 1.9252
O 1.5674 1.4585 0.1218
O 4.1383 1.4585 0.1218
O 1.2854 1.4585 3.9058
```

Symmetry: Imma, No. 74
Uncorrected energy: -6.3574 eV/atom
Calculated volume: 134.07 Å³/cell

Computed, not measured: crystalline Mn3CoO8 at its relaxed geometry at the PBE with a Hubbard U level of DFT.

Cell and atoms, written as extended XYZ:
```
24
Lattice="-1.2846 4.8467 -2.8802 -1.8603 -0.7169 5.4279 7.2441 3.6847 2.9694" Properties=species:S:1:pos:R:3 pbc="T T T"
O -1.5896 3.9194 1.4998
Mn -0.8833 3.3970 3.2261
Co 1.8635 2.9341 4.1063
O 5.3557 5.6063 1.2408
O 2.8588 5.1973 1.6663
O 4.5493 5.2955 3.5939
Mn -0.2449 0.9887 4.6573
Mn 4.3980 4.1203 2.0515
Mn 2.8353 6.1724 3.3175
O -0.9551 1.5005 2.9510
O -0.6673 4.2748 -1.1910
O 1.4586 1.1055 3.7260
O -0.0305 1.8721 0.2369
Mn 0.6795 1.3449 1.9601
O 2.5726 2.4238 5.8089
O 4.6349 7.8576 -0.4537
O 3.9923 7.3967 2.3452
Co 5.6774 6.6311 2.8216
O 3.4948 2.7792 3.1180
O 0.0953 2.8958 4.8305
Mn 3.7597 6.5286 0.6203
O 2.2975 1.1687 0.9418
O 1.9357 4.8265 4.3810
O 0.9017 3.2066 2.4774
```

Symmetry: P6_3mc, No. 186
Energy above the most stable polymorph in this dataset: 33 meV/atom
Calculated volume: 250.56 Å³/cell

Computed, not measured: crystalline Mn3Co5O16 at its relaxed geometry at the PBE with a Hubbard U level of DFT.

Cell and atoms, written as extended XYZ:
```
24
Lattice="2.8516 4.9176 0.0058 -2.8516 4.9176 0.0058 0.0000 0.1236 8.6216" Properties=species:S:1:pos:R:3 pbc="T T T"
O 1.2612 2.6271 2.9569
Mn 0.0000 1.6734 1.8358
O 1.4177 5.7350 0.8711
Co 1.4146 4.1173 1.7866
Co 0.0000 6.6819 8.5236
O 0.0000 8.2074 0.9125
O 1.2275 7.4075 7.2667
O 1.4284 4.1537 5.1810
O -1.4177 5.7350 0.8711
Co 0.0000 8.2812 6.0924
Mn -1.4173 5.8349 6.1437
O 0.0000 1.7208 5.1463
Co 0.0000 3.3379 4.1817
O 0.0000 4.7373 2.9037
O -1.4284 4.1537 5.1810
O 0.0000 9.9149 7.0809
O -1.2275 7.4075 7.2667
O 0.0000 6.6374 5.1600
O 0.0000 9.8375 2.7535
Co -1.4146 4.1173 1.7866
O -1.2612 2.6271 2.9569
O 0.0000 5.2198 7.3059
Mn 1.4173 5.8349 6.1437
O 0.0000 3.3044 0.8510
```

Symmetry: Cm, No. 8
Uncorrected energy: -6.1790 eV/atom
Calculated volume: 241.80 Å³/cell

Computed, not measured: crystalline MnCo3O8 at its relaxed geometry at the PBE with a Hubbard U level of DFT.

Cell and atoms, written as extended XYZ:
```
12
Lattice="5.9730 0.1238 0.0873 3.1249 5.0918 0.0873 3.1249 1.7914 4.7671" Properties=species:S:1:pos:R:3 pbc="T T T"
O 6.4405 5.3134 3.7472
O 3.3051 1.8947 1.3362
Co 4.5490 0.9576 2.4272
O 7.8395 4.4942 1.4484
O 4.3834 2.5129 3.4933
Mn 0.0000 0.0000 0.0000
O 5.7824 1.6937 1.1945
Co 3.1249 3.4416 2.4272
Co 4.5490 2.6078 0.0873
O 4.3834 4.1341 1.1945
O 8.9178 5.1124 3.6055
O 7.8395 2.8730 3.7472
```

Symmetry: R-3m, No. 166
Energy above the most stable polymorph in this dataset: 0 meV/atom
Calculated volume: 141.34 Å³/cell

Computed, not measured: crystalline MnCo9O10 at its relaxed geometry at the PBE with a Hubbard U level of DFT.

Cell and atoms, written as extended XYZ:
```
20
Lattice="1.5229 7.8771 0.0144 -1.5229 7.8771 0.0144 0.0000 2.3355 8.2983" Properties=species:S:1:pos:R:3 pbc="T T T"
Co 0.0000 9.9175 1.6806
Mn 0.0000 0.0000 0.0000
O 0.0000 11.6881 7.9086
O 0.0000 1.7690 6.2311
O 0.0000 13.4229 2.9346
Co 0.0000 1.1678 4.1491
O 0.0000 14.5866 7.0629
O 0.0000 16.3207 2.0960
Co 0.0000 4.0846 3.3304
O 0.0000 10.4952 3.7537
Co 0.0000 5.2545 7.4756
Co 0.0000 11.0927 5.8178
O 0.0000 7.5945 4.5734
O 0.0000 3.5031 1.2642
O 0.0000 4.6668 5.3925
Co 0.0000 6.9970 2.5093
Co 0.0000 14.0051 4.9967
O 0.0000 6.4016 0.4185
Co 0.0000 8.1722 6.6465
Co 0.0000 12.8352 0.8515
```

Symmetry: C2/m, No. 12
Uncorrected energy: -6.0594 eV/atom
Calculated volume: 198.99 Å³/cell

Computed, not measured: crystalline Mn3Co2O8 at its relaxed geometry at the PBE with a Hubbard U level of DFT.

Cell and atoms, written as extended XYZ:
```
26
Lattice="-2.3407 -3.0982 3.1845 -1.7283 -3.3336 -4.5136 7.8284 -5.1135 0.7791" Properties=species:S:1:pos:R:3 pbc="T T T"
O 0.7533 -5.0824 3.4652
O 2.2882 -6.8799 0.3863
O 5.2603 -6.9154 0.9553
Co 4.8582 -6.2618 2.7645
O -0.0995 -6.6223 1.1104
Co 3.9595 -6.3295 -0.6601
O 0.3976 -6.1371 -1.5763
O -2.4317 -5.6133 -0.5819
O 1.3652 -4.2707 0.9507
O 6.8464 -4.6433 0.8078
O 3.2174 -5.1533 2.5741
O 6.1068 -6.2571 -1.5358
Co 0.8638 -4.3342 -0.9484
O -0.8142 -3.2749 -1.0882
Mn 3.1450 -3.5559 1.4220
Mn -0.8016 -1.3205 -0.5601
Mn 5.3735 -8.8668 0.6724
Mn 1.5183 -6.0060 1.8781
O -1.5989 -4.0070 1.5931
O 4.4996 -8.3827 -1.0313
Co 0.0984 -3.1796 2.3107
O 3.9469 -4.3852 -0.1127
Mn -1.6961 -3.0458 -2.8961
Mn 0.6844 -7.6143 -0.2995
O 0.0884 -1.5309 1.0969
O 3.0514 -6.1124 -2.4514
```

Symmetry: Pmn2_1, No. 31
Energy above the most stable polymorph in this dataset: 0 meV/atom
Calculated volume: 276.65 Å³/cell

Computed, not measured: crystalline Mn3CoO6 at its relaxed geometry at the PBE with a Hubbard U level of DFT.

Cell and atoms, written as extended XYZ:
```
20
Lattice="5.9195 -0.0789 -0.0807 -0.2074 5.9164 -0.0807 -0.2074 -0.2119 5.9132" Properties=species:S:1:pos:R:3 pbc="T T T"
O 2.3898 3.4335 4.6670
O 3.3809 4.6112 2.5667
Mn 4.1034 2.2641 5.4614
O 3.1150 2.1920 1.0848
Mn 3.3303 0.2576 1.4801
O 3.9309 0.2652 5.2856
Co 2.7524 2.8128 2.8759
Mn 0.1853 1.4058 3.3671
Co 0.0000 0.0000 0.0000
O 5.1918 4.0445 0.3823
O 0.1798 5.1970 4.0520
Mn 5.3195 4.2198 2.3847
O 2.1239 1.0144 3.1851
O 4.5368 2.4889 3.5362
Mn 2.1745 5.3679 4.2716
Mn 1.4014 3.3615 0.2904
O 5.3250 0.4286 1.6998
O 0.9680 3.1367 2.2156
O 1.5739 5.3604 0.4662
O 0.3129 1.5811 5.3694
```

Symmetry: R-3, No. 148
Uncorrected energy: -7.0978 eV/atom
Calculated volume: 206.79 Å³/cell

Computed, not measured: crystalline MnCoO3 at its relaxed geometry at the PBE with a Hubbard U level of DFT.

Cell and atoms, written as extended XYZ:
```
5
Lattice="-1.1639 3.2555 -1.4046 -1.2206 -1.7559 -3.0583 -3.3289 -0.4944 1.6125" Properties=species:S:1:pos:R:3 pbc="T T T"
Co 0.0000 0.0000 0.0000
Mn -2.8567 0.5026 -1.4252
O -0.6103 -0.8780 -1.5291
O -0.5820 1.6278 -0.7023
O -1.6644 -0.2472 0.8062
```

Symmetry: Pm-3m, No. 221
Uncorrected energy: -6.1843 eV/atom
Calculated volume: 51.97 Å³/cell

Computed, not measured: crystalline MnCoO3 at its relaxed geometry at the PBE with a Hubbard U level of DFT.

Cell and atoms, written as extended XYZ:
```
20
Lattice="0.3344 5.1513 -0.0872 -0.0565 -0.7753 -6.5211 -6.5357 -0.2543 -0.5905" Properties=species:S:1:pos:R:3 pbc="T T T"
O -5.6511 0.0106 -2.7453
O -4.5530 2.7284 -3.9419
O -6.3135 1.1431 -5.9077
Mn -0.3874 3.1350 -6.0541
Mn -4.5741 3.4716 -2.2219
O 0.0556 2.9787 -1.2910
Mn -1.6838 0.6501 -4.9769
O -1.7048 1.3934 -3.2568
O -3.4577 0.0512 -5.0540
Co -5.0435 0.9017 -4.3623
Mn -5.8705 0.9868 -1.1447
O -1.1937 0.4900 -0.2570
O -4.1780 1.8092 -1.2940
Co -3.6584 3.3795 -5.5206
Co -1.2143 3.2200 -2.8365
O -2.0798 2.3125 -5.9047
Co -2.5994 0.7423 -1.6781
O -0.6068 4.1112 -4.4534
O -5.0642 3.6317 -6.9418
O -2.8001 4.0706 -2.1448
```

Symmetry: C2/c, No. 15
Uncorrected energy: -6.7007 eV/atom
Calculated volume: 219.42 Å³/cell

Computed, not measured: crystalline MnCoO3 at its relaxed geometry at the PBE with a Hubbard U level of DFT.

Cell and atoms, written as extended XYZ:
```
10
Lattice="4.7863 0.0000 1.1006 2.3932 4.5617 0.5503 0.2266 0.0000 4.9407" Properties=species:S:1:pos:R:3 pbc="T T T"
O 3.7940 0.0000 1.9863
O 3.6792 2.7625 1.9969
O 3.7268 1.7993 4.5948
O 1.2189 0.0000 4.0551
Mn 4.7863 1.4376 1.1006
O 1.2861 1.7993 1.4466
Co 2.5064 1.3538 3.0207
Mn 2.3932 3.1241 0.5503
Co 4.8996 3.2080 3.5710
O 6.1200 2.7625 5.1451
```

Symmetry: C2/m, No. 12
Uncorrected energy: -6.7082 eV/atom
Calculated volume: 106.74 Å³/cell

Computed, not measured: crystalline Mn4CoO8 at its relaxed geometry at the PBE with a Hubbard U level of DFT.

Cell and atoms, written as extended XYZ:
```
13
Lattice="0.6772 -2.5150 -5.2871 3.3023 -4.8345 -0.6783 -2.8865 -5.2188 -0.9824" Properties=species:S:1:pos:R:3 pbc="T T T"
O 0.1985 -8.2382 -2.4969
O 0.8945 -4.3301 -4.4509
Mn 0.0000 0.0000 0.0000
O 0.5507 -3.0117 -1.8294
O 2.3544 -6.6128 -4.6690
O -1.2614 -5.9555 -2.2788
O 0.5423 -9.5565 -5.1185
Mn 0.3386 -1.2575 -2.6436
Co 1.9897 -3.6747 -2.9827
Mn 0.5465 -6.2841 -3.4739
O -1.0739 -7.1139 -4.7308
Mn 1.6511 -2.4172 -0.3391
O 2.1669 -5.4543 -2.2170
```

Symmetry: C2/m, No. 12
Energy above the most stable polymorph in this dataset: 0 meV/atom
Calculated volume: 152.63 Å³/cell